GdHf31O63 (PBE, optimized geometry); VASP energy = -10.090 eV per atom
1.0
9.990 0.000 0.000
0.003 10.108 0.000
0.002 0.002 10.434
O Hf Gd
63 31 1
Cartesian
0.831 5.722 3.256
8.969 5.036 0.064
3.581 10.047 2.588
5.840 6.948 3.256
8.981 7.566 10.367
5.845 6.948 8.468
8.504 0.008 7.758
8.971 5.030 5.292
3.634 2.572 2.460
0.932 3.052 2.051
3.490 2.508 7.771
1.622 3.141 9.826
3.506 5.048 2.673
0.857 5.677 8.482
3.971 7.589 5.267
1.643 8.215 9.792
3.962 0.007 10.362
1.608 3.333 4.622
5.929 9.501 1.991
5.862 4.453 1.970
3.996 2.583 5.292
3.520 5.049 7.894
0.853 3.154 7.200
6.633 4.427 9.786
6.631 6.946 5.859
5.839 1.895 8.453
6.653 4.405 4.566
8.506 5.062 7.776
8.971 2.521 10.367
1.641 0.636 0.741
5.871 1.890 3.249
0.846 8.205 7.185
8.516 5.063 2.543
1.655 8.267 4.538
8.994 10.075 5.262
6.652 1.875 5.857
3.511 7.572 7.769
8.477 7.577 2.663
3.510 10.098 7.879
8.498 2.543 7.890
1.667 5.758 5.892
3.511 7.557 2.554
3.987 5.082 5.159
8.964 7.533 5.162
6.640 6.960 0.641
8.652 0.015 2.561
8.502 7.589 7.881
3.981 7.588 0.061
5.848 4.422 7.172
6.654 1.903 0.629
4.026 10.092 5.188
1.583 0.579 5.915
6.627 9.480 9.795
0.835 8.231 1.973
8.953 10.094 0.037
1.640 5.677 0.651
6.673 9.461 4.558
8.983 2.497 5.150
8.511 2.535 2.644
5.859 9.473 7.188
3.981 5.063 10.379
0.832 0.638 8.523
3.984 2.527 0.014
2.594 8.851 1.133
4.899 6.299 1.494
7.594 1.233 4.092
9.896 6.342 1.479
7.564 1.237 9.289
7.579 8.820 6.338
2.621 3.804 1.108
9.898 6.331 6.721
2.595 3.835 6.344
4.922 1.232 1.467
9.845 8.779 3.755
7.605 8.818 1.113
4.899 3.766 8.934
2.593 6.336 4.097
9.897 3.814 8.937
7.581 6.298 9.310
2.592 8.872 6.327
4.894 8.825 8.936
9.900 8.859 8.936
9.889 1.277 6.718
4.874 1.243 6.674
9.873 3.831 3.736
4.889 6.303 6.701
2.598 6.345 9.318
7.569 3.784 1.117
9.848 1.321 1.403
7.560 6.273 4.099
7.583 3.757 6.344
2.595 1.281 9.313
4.896 3.764 3.731
4.901 8.833 3.736
2.499 1.309 4.005